(1)
PBE PrDy3Al8, optimized geometry; formation energy = -505 meV/atom; SG = R3m (160); V = 248.60 Å³ per cell; size of the total moment = 0.000 μB per formula unit; N(E_F) = 10.43 states/eV/cell
1.0
-0.046 -5.076 -2.344
4.601 -1.969 -2.494
4.245 -6.045 6.338
Pr Dy Al
1 3 8
Direct
0.875 0.875 0.375 Pr
0.376 0.376 0.873 Dy
0.000 0.000 0.000 Dy
0.499 0.499 0.502 Dy
0.939 0.438 0.184 Al
0.436 0.937 0.691 Al
0.438 0.438 0.184 Al
0.937 0.937 0.691 Al
0.187 0.187 0.439 Al
0.688 0.688 0.937 Al
0.438 0.939 0.184 Al
0.937 0.436 0.691 Al



(2)
PBE Pr2Dy2Al, optimized geometry; formation energy = -146 meV/atom; SG = I4/mmm (139); V = 151.77 Å³ per cell; size of the total moment = 0.000 μB per formula unit; N(E_F) = 5.85 states/eV/cell
1.0
3.531 0.000 -0.567
-0.091 3.530 -0.567
0.135 0.139 12.131
Pr Dy Al
2 2 1
Direct
0.809 0.809 0.618 Pr
0.191 0.191 0.382 Pr
0.579 0.579 0.159 Dy
0.421 0.421 0.841 Dy
0.000 0.000 0.000 Al



(3)
PBE PrDy4Al2, optimized geometry; formation energy = 266 meV/atom; SG = I4/mmm (139); V = 205.18 Å³ per cell; size of the total moment = 0.001 μB per formula unit; N(E_F) = 9.51 states/eV/cell
1.0
5.676 0.000 0.000
0.000 5.676 0.000
-2.838 -2.838 6.368
Pr Dy Al
1 4 2
Direct
0.000 0.000 0.000 Pr
0.750 0.250 0.500 Dy
0.250 0.750 0.500 Dy
0.500 0.000 0.000 Dy
0.000 0.500 0.000 Dy
0.614 0.614 0.229 Al
0.386 0.386 0.771 Al



(4)
PBE PrDy4Al2, optimized geometry; formation energy = -200 meV/atom; SG = R-3m (166); V = 193.64 Å³ per cell; size of the total moment = 0.000 μB per formula unit; N(E_F) = 5.17 states/eV/cell
1.0
-5.200 -1.175 0.216
-1.582 -5.094 0.092
-1.944 -2.046 7.952
Pr Al Dy
1 2 4
Direct
0.000 0.000 0.000 Pr
0.718 0.718 0.846 Al
0.282 0.282 0.154 Al
0.846 0.846 0.463 Dy
0.154 0.154 0.537 Dy
0.580 0.580 0.259 Dy
0.420 0.420 0.741 Dy



(5)
PBE Pr2Dy3Al3, optimized geometry; formation energy = -263 meV/atom; SG = Immm (71); V = 213.02 Å³ per cell; size of the total moment = 0.000 μB per formula unit; N(E_F) = 5.06 states/eV/cell
1.0
0.111 1.009 -3.594
-3.297 -3.784 -1.164
-6.908 8.281 4.050
Pr Dy Al
2 3 3
Direct
0.272 0.772 0.545 Pr
0.728 0.228 0.455 Pr
0.385 0.385 0.769 Dy
0.615 0.615 0.231 Dy
0.500 0.000 0.000 Dy
0.888 0.888 0.777 Al
0.000 0.500 0.000 Al
0.112 0.112 0.223 Al



(6)
PBE PrDyAlRh, optimized geometry; formation energy = -451 meV/atom; SG = F-43m (216); V = 93.52 Å³ per cell; size of the total moment = 0.000 μB per formula unit; N(E_F) = 3.84 states/eV/cell
1.0
5.095 0.000 0.000
2.547 4.412 0.000
2.547 1.471 4.160
Pr Rh Al Dy
1 1 1 1
Direct
0.250 0.250 0.250 Pr
0.000 0.000 0.000 Rh
0.500 0.500 0.500 Al
0.750 0.750 0.750 Dy



(7)
PBE PrDyAl2S6, optimized geometry; formation energy (no corrections) = -1.503 eV per atom; SG = R-3 (148); V = 241.04 Å³ per cell; size of the total moment = 0.000 μB per formula unit; N(E_F) = 0.00 states/eV/cell
1.0
6.420 0.000 0.001
-3.210 5.560 -0.002
-3.211 -1.852 6.752
Pr Dy Al S
1 1 2 6
Direct
0.997 0.498 0.480 Pr
0.996 0.998 0.980 Dy
0.340 0.669 0.995 Al
0.653 0.326 0.966 Al
0.495 0.927 0.776 S
0.498 0.069 0.185 S
0.771 0.701 0.185 S
0.130 0.428 0.185 S
0.863 0.567 0.776 S
0.223 0.295 0.776 S



(8)
PBE PrDyScAl, optimized geometry; formation energy = -95 meV/atom; SG = F-43m (216); V = 106.06 Å³ per cell; size of the total moment = 0.983 μB per formula unit; N(E_F) = 5.29 states/eV/cell
1.0
5.313 0.000 0.000
2.657 4.601 0.000
2.657 1.534 4.338
Pr Sc Al Dy
1 1 1 1
Direct
0.750 0.750 0.750 Pr
0.000 0.000 0.000 Sc
0.500 0.500 0.500 Al
0.250 0.250 0.250 Dy



(9)
PBE PrDyAlSi, optimized geometry; formation energy (no corrections) = -0.609 eV per atom; SG = Amm2 (38); V = 99.56 Å³ per cell; size of the total moment = 0.004 μB per formula unit; N(E_F) = 3.11 states/eV/cell
1.0
4.415 0.000 0.000
0.000 4.042 0.000
-2.207 0.000 5.579
Pr Dy Al Si
1 1 1 1
Direct
0.145 0.000 0.291 Pr
0.862 0.500 0.723 Dy
0.567 0.500 0.134 Al
0.426 0.000 0.852 Si



(10)
PBE PrDy2Al2Zn2, optimized geometry; formation energy = -309 meV/atom; SG = R-3m (166); V = 165.91 Å³ per cell; size of the total moment = 0.000 μB per formula unit; N(E_F) = 3.91 states/eV/cell
1.0
-2.377 1.295 3.647
0.944 -1.774 4.073
5.626 6.662 4.131
Pr Dy Al Zn
1 2 2 2
Direct
0.000 0.000 0.000 Pr
0.129 0.129 0.612 Dy
0.871 0.871 0.388 Dy
0.741 0.741 0.777 Al
0.259 0.259 0.223 Al
0.594 0.594 0.218 Zn
0.406 0.406 0.782 Zn



(11)
PBE DyAl2Pt3, optimized geometry; formation energy = -1080 meV/atom; SG = C2/m (12); V = 320.22 Å³ per cell; size of the total moment = 0.000 μB per formula unit; N(E_F) = 8.72 states/eV/cell
1.0
-0.511 3.504 1.972
-2.759 -5.874 5.555
9.862 0.733 1.256
Dy Al Pt
3 6 9
Direct
0.161 0.323 0.703 Dy
0.839 0.677 0.297 Dy
0.000 0.000 0.000 Dy
0.195 0.390 0.123 Al
0.805 0.610 0.877 Al
0.464 0.928 0.224 Al
0.536 0.072 0.776 Al
0.361 0.722 0.554 Al
0.639 0.278 0.446 Al
0.041 0.083 0.335 Pt
0.959 0.917 0.665 Pt
0.220 0.441 0.388 Pt
0.780 0.559 0.612 Pt
0.614 0.228 0.186 Pt
0.386 0.772 0.814 Pt
0.500 0.000 0.500 Pt
0.326 0.652 0.050 Pt
0.674 0.348 0.950 Pt



(12)
PBE DyAl3Pt, optimized geometry; formation energy = -819 meV/atom; SG = Cm (8); V = 96.09 Å³ per cell; size of the total moment = 0.000 μB per formula unit; N(E_F) = 2.35 states/eV/cell
1.0
-3.581 -1.725 -1.408
1.912 -1.013 -3.619
0.631 -6.124 -0.403
Dy Al Pt
1 3 1
Direct
0.390 0.193 0.925 Dy
0.646 0.950 0.413 Al
0.146 0.450 0.413 Al
0.801 0.604 0.103 Al
0.025 0.829 0.656 Pt



Among the records above, which one has the lowest N(E_F)? PrDyAl2S6



Number 7 is which compound? PrDyAl2S6



The lowest V belongs to which entry? PrDyAlRh



Look up the size of the total moment of the fifth one. 0.000 μB per formula unit